# PBE+U NaAc2Fe2O6, optimized geometry
data_NaAc2Fe2O6
_chemical_formula_sum 'Na3 Ac6 Fe6 O18'
_space_group_name_H-M_alt 'R -3 m'
_space_group_IT_number 166
_space_group_name_Hall '-R 3 2"'
_cell_length_a 6.0521
_cell_length_b 6.0521
_cell_length_c 17.7499
_cell_angle_alpha 90.00
_cell_angle_beta 90.00
_cell_angle_gamma 120.00
loop_
_atom_site_label
_atom_site_type_symbol
_atom_site_fract_x
_atom_site_fract_y
_atom_site_fract_z
Na1 Na 0.0000 0.0000 0.0000
Ac1 Ac 0.0000 0.0000 0.1984
Fe1 Fe 0.0000 0.0000 0.4299
O1 O 0.0194 0.5097 0.7651
# **V**: 563 Å³/cell



# PBE+U NaAcFeO3, optimized geometry
data_NaAcFeO3
_chemical_formula_sum 'Na4 Ac4 Fe4 O12'
_space_group_name_H-M_alt 'C m c m'
_space_group_IT_number 63
_space_group_name_Hall '-C 2c 2'
_cell_length_a 3.710
_cell_length_b 11.073
_cell_length_c 10.617
_cell_angle_alpha 90.00
_cell_angle_beta 90.00
_cell_angle_gamma 90.00
loop_
_atom_site_label
_atom_site_type_symbol
_atom_site_fract_x
_atom_site_fract_y
_atom_site_fract_z
Na1 Na 0.000 0.233 0.250
Ac1 Ac 0.000 0.000 0.000
Fe1 Fe 0.000 0.493 0.750
O1 O 0.000 0.081 0.750
O2 O 0.000 0.387 0.599
# **V**: 436 Å³/cell



# PBE+U Na2AcFeO4, optimized geometry
data_Na2AcFeO4
_chemical_formula_sum 'Na8 Ac4 Fe4 O16'
_space_group_name_H-M_alt 'C m c m'
_space_group_IT_number 63
_space_group_name_Hall '-C 2c 2'
_cell_length_a 3.552
_cell_length_b 11.927
_cell_length_c 11.056
_cell_angle_alpha 90.00
_cell_angle_beta 90.00
_cell_angle_gamma 90.00
loop_
_atom_site_label
_atom_site_type_symbol
_atom_site_fract_x
_atom_site_fract_y
_atom_site_fract_z
Na1 Na 0.000 0.119 0.036
Ac1 Ac 0.000 0.408 0.250
Fe1 Fe 0.000 0.324 0.750
O1 O 0.000 0.092 0.250
O2 O 0.000 0.211 0.635
O3 O 0.000 0.500 0.000
# **V**: 468 Å³/cell



no.,E_tot (eV per atom)
1,-6.634
2,-6.288
3,-5.854